Here is a geometry-optimized TaReCl2 structure from Alexandria via LeMat-Bulk. Energies are from PBE-GGA.

## Properties
distance to the lowest polymorph of the same formula	1377.5	meV/atom
space-group type	I-4m2
formation energy (no corrections)	877	meV/atom
DFT total energy	-0.450	Ry/atom

abc: 4.852 4.852 4.852
angles: 128.90 128.90 75.18
Element x y z (fractional)
Ta1 0.750 0.250 0.500
Re1 0.500 0.500 0.000
Cl1 0.250 0.750 0.500
Cl2 0.000 0.000 0.000

***

Here is a geometry-optimized Rb3Ca2AgCl9 structure from Alexandria via LeMat-Bulk. Energies are from PBE-GGA.

## Properties
space-group type	P-3m1
formation energy (no corrections)	-1792	meV/atom
DFT total energy	-0.261	Ry/atom

abc: 7.563 7.563 9.316
angles: 90.00 90.00 120.00
Last column: magnetic moment on the atom in μB.
Element x y z (fractional)
Rb1 0.333 0.667 0.655  0.00
Rb2 0.000 0.000 0.000  0.00
Rb3 0.667 0.333 0.345  0.00
Cl1 0.000 0.500 0.000  0.01
Cl2 0.671 0.836 0.339  0.09
Cl3 0.329 0.164 0.661  0.09
Cl4 0.836 0.671 0.661  0.09
Cl5 0.164 0.836 0.339  0.09
Cl6 0.500 0.000 0.000  0.01
Cl7 0.836 0.164 0.661  0.09
Cl8 0.164 0.329 0.339  0.09
Cl9 0.500 0.500 0.000  0.01
Ca1 0.333 0.667 0.169  0.01
Ca2 0.667 0.333 0.831  0.01
Ag1 0.000 0.000 0.500  0.39

***

Here is a geometry-optimized AcTbHo2As4 structure from Alexandria via LeMat-Bulk. Energies are from PBE-GGA.

## Properties
space-group type	P2/m
formation energy	-1.47	eV per atom
DFT total energy	-0.444	Ry/atom

abc: 4.231 7.322 7.328
angles: 70.59 90.00 90.00
Element x y z (fractional)
Ac1 0.500 0.500 0.000
As1 0.000 0.767 0.734
As2 0.000 0.233 0.266
As3 0.500 0.760 0.256
As4 0.500 0.240 0.744
Ho1 0.000 0.000 0.000
Ho2 0.500 0.000 0.500
Tb1 0.000 0.500 0.500

***

Here is a geometry-optimized MnFe2Sb structure from Alexandria via LeMat-Bulk. Energies are from PBE-GGA.

## Properties
space-group type	P4mm
formation energy (no corrections)	187	meV/atom
DFT total energy	-0.541	Ry/atom

abc: 3.292 3.284 6.344
angles: 58.85 90.00 90.00
Last column: magnetic moment on the atom in μB.
Element x y z (fractional)
Fe1 0.000 0.979 0.020  2.42
Fe2 0.500 0.251 0.249  2.59
Sb1 0.500 0.749 0.751  -0.07
Mn1 0.000 0.520 0.480  2.97

***

Here is a geometry-optimized BiPd4Pb2 structure from Alexandria via LeMat-Bulk. Energies are from PBE-GGA.

## Properties
distance to the lowest polymorph of the same formula	0.0	meV/atom
space-group type	Pnma
formation energy	-0.24	eV per atom
DFT total energy	-0.354	Ry/atom

abc: 4.618 9.916 12.899
angles: 90.00 90.00 90.00
Element x y z (fractional)
Pd1 0.750 0.905 0.486
Pd2 0.250 0.595 0.986
Pd3 0.250 0.095 0.514
Pd4 0.250 0.578 0.742
Pd5 0.750 0.181 0.866
Pd6 0.750 0.922 0.242
Pd7 0.250 0.319 0.366
Pd8 0.250 0.591 0.291
Pd9 0.250 0.078 0.758
Pd10 0.750 0.909 0.791
Pd11 0.250 0.819 0.134
Pd12 0.750 0.681 0.634
Pd13 0.750 0.405 0.014
Pd14 0.250 0.091 0.209
Pd15 0.750 0.422 0.258
Pd16 0.750 0.409 0.709
Bi1 0.250 0.844 0.634
Bi2 0.750 0.156 0.366
Bi3 0.250 0.344 0.866
Bi4 0.750 0.656 0.134
Pb1 0.750 0.104 0.074
Pb2 0.750 0.604 0.426
Pb3 0.250 0.896 0.926
Pb4 0.750 0.640 0.860
Pb5 0.250 0.396 0.574
Pb6 0.250 0.360 0.140
Pb7 0.250 0.860 0.360
Pb8 0.750 0.140 0.640

***

Here is a geometry-optimized Dy3Sc5H12 structure from Alexandria via LeMat-Bulk. Energies are from PBE-GGA.

## Properties
space-group type	Ia-3d
DFT total energy	-0.351	Ry/atom

abc: 10.724 10.724 10.724
angles: 109.47 109.47 109.47
Last column: magnetic moment on the atom in μB.
Element x y z (fractional)
H1 0.446 0.783 0.859  0.00
H2 0.663 0.217 0.575  0.00
H3 0.837 0.925 0.283  0.00
H4 0.413 0.359 0.575  0.00
H5 0.359 0.946 0.783  0.00
H6 0.925 0.837 0.783  0.00
H7 0.717 0.575 0.163  0.00
H8 0.359 0.413 0.075  0.00
H9 0.783 0.446 0.359  0.00
H10 0.717 0.141 0.054  0.00
H11 0.554 0.337 0.913  0.00
H12 0.283 0.859 0.946  0.00
H13 0.913 0.837 0.554  0.00
H14 0.913 0.075 0.859  0.00
H15 0.946 0.359 0.283  0.00
H16 0.163 0.087 0.946  0.00
H17 0.641 0.587 0.925  0.00
H18 0.054 0.413 0.837  0.00
H19 0.575 0.859 0.413  0.00
H20 0.075 0.163 0.217  0.00
H21 0.425 0.141 0.587  0.00
H22 0.587 0.946 0.663  0.00
H23 0.859 0.283 0.446  0.00
H24 0.446 0.663 0.087  0.00
H25 0.575 0.717 0.663  0.00
H26 0.783 0.337 0.925  0.00
H27 0.283 0.425 0.837  0.00
H28 0.925 0.087 0.641  0.00
H29 0.413 0.054 0.337  0.00
H30 0.141 0.717 0.554  0.00
H31 0.554 0.217 0.141  0.00
H32 0.337 0.554 0.413  0.00
H33 0.663 0.446 0.587  0.00
H34 0.641 0.054 0.217  0.00
H35 0.337 0.783 0.425  0.00
H36 0.054 0.641 0.717  0.00
H37 0.141 0.425 0.087  0.00
H38 0.946 0.587 0.163  0.00
H39 0.217 0.554 0.641  0.00
H40 0.087 0.925 0.141  0.00
H41 0.087 0.163 0.446  0.00
H42 0.425 0.283 0.337  0.00
H43 0.587 0.641 0.425  0.00
H44 0.075 0.913 0.359  0.00
H45 0.163 0.075 0.717  0.00
H46 0.217 0.663 0.075  0.00
H47 0.859 0.575 0.913  0.00
H48 0.837 0.913 0.054  0.00
Sc1 0.000 0.000 0.000  0.04
Sc2 0.375 0.250 0.125  0.16
Sc3 0.125 0.750 0.375  0.16
Sc4 0.000 0.000 0.500  0.04
Sc5 0.750 0.125 0.875  0.16
Sc6 0.250 0.375 0.625  0.16
Sc7 0.750 0.625 0.375  0.16
Sc8 0.625 0.875 0.250  0.16
Sc9 0.500 0.500 0.000  0.04
Sc10 0.000 0.500 0.500  0.04
Sc11 0.250 0.875 0.125  0.16
Sc12 0.000 0.500 0.000  0.04
Sc13 0.125 0.375 0.250  0.16
Sc14 0.375 0.125 0.750  0.16
Sc15 0.625 0.750 0.875  0.16
Sc16 0.875 0.625 0.750  0.16
Sc17 0.875 0.250 0.625  0.16
Sc18 0.500 0.500 0.500  0.04
Sc19 0.500 0.000 0.500  0.04
Sc20 0.500 0.000 0.000  0.04
Dy1 0.625 0.250 0.375  0.09
Dy2 0.125 0.250 0.875  0.09
Dy3 0.875 0.750 0.125  0.09
Dy4 0.750 0.875 0.625  0.09
Dy5 0.250 0.625 0.875  0.09
Dy6 0.375 0.750 0.625  0.09
Dy7 0.875 0.125 0.250  0.09
Dy8 0.625 0.375 0.750  0.09
Dy9 0.750 0.375 0.125  0.09
Dy10 0.125 0.875 0.750  0.09
Dy11 0.375 0.625 0.250  0.09
Dy12 0.250 0.125 0.375  0.09

***

Here is a geometry-optimized MgInH2 structure from Alexandria via LeMat-Bulk. Energies are from PBE-GGA.

## Properties
distance to the lowest polymorph of the same formula	0.0	meV/atom
space-group type	P1
DFT total energy	-0.206	Ry/atom

abc: 3.095 3.095 15.480
angles: 86.28 87.06 60.18
Element x y z (fractional)
H1 0.750 0.225 0.380
H2 0.432 0.922 0.263
H3 0.131 0.672 0.992
H4 0.783 0.307 0.109
In1 0.078 0.812 0.779
In2 0.608 0.350 0.593
Mg1 0.091 0.573 0.322
Mg2 0.457 0.989 0.051

***

Here is a geometry-optimized YTm3Th2 structure from Alexandria via LeMat-Bulk. Energies are from PBE-GGA.

## Properties
space-group type	C2/m
formation energy	0.15	eV per atom
DFT total energy	-0.414	Ry/atom

abc: 3.443 10.062 11.779
angles: 108.13 98.40 90.00
Element x y z (fractional)
Y1 0.687 0.037 0.374
Y2 0.313 0.963 0.626
Th1 0.690 0.376 0.381
Th2 0.071 0.136 0.142
Th3 0.310 0.624 0.619
Th4 0.929 0.864 0.858
Tm1 0.442 0.555 0.883
Tm2 0.558 0.445 0.117
Tm3 0.932 0.229 0.865
Tm4 0.068 0.771 0.135
Tm5 0.306 0.289 0.612
Tm6 0.694 0.711 0.388

***

Here is a geometry-optimized Ac5NdSm4 structure from Alexandria via LeMat-Bulk. Energies are from PBE-GGA.

## Properties
space-group type	C2/m
formation energy	0.03	eV per atom
DFT total energy	-0.322	Ry/atom

abc: 5.483 11.145 10.083
angles: 41.35 74.22 75.76
Element x y z (fractional)
Ac1 0.800 0.101 0.300
Ac2 0.600 0.698 0.101
Ac3 0.200 0.899 0.700
Ac4 0.000 0.500 0.500
Ac5 0.400 0.302 0.899
Sm1 0.600 0.199 0.600
Sm2 0.200 0.400 0.201
Sm3 0.800 0.600 0.799
Sm4 0.400 0.801 0.400
Nd1 0.000 0.000 0.000

***

Here is a geometry-optimized TcS2I structure from Alexandria via LeMat-Bulk. Energies are from PBE-GGA.

## Properties
distance to the lowest polymorph of the same formula	804.8	meV/atom
space-group type	R-3m
formation energy (no corrections)	666	meV/atom
DFT total energy	-0.322	Ry/atom

abc: 12.846 12.846 12.846
angles: 13.55 13.55 13.55
Element x y z (fractional)
Tc1 0.000 0.000 0.000
I1 0.500 0.500 0.500
S1 0.942 0.942 0.942
S2 0.058 0.058 0.058

***

Here is a geometry-optimized LaGa4CuPd2 structure from Alexandria via LeMat-Bulk. Energies are from PBE-GGA.

## Properties
space-group type	R-3m
formation energy	-0.54	eV per atom
DFT total energy	-0.330	Ry/atom

abc: 4.321 4.321 9.291
angles: 76.55 76.55 60.00
Element x y z (fractional)
Ga1 0.131 0.131 0.606
Ga2 0.403 0.403 0.791
Ga3 0.597 0.597 0.209
Ga4 0.869 0.869 0.394
Pd1 0.766 0.766 0.701
Pd2 0.234 0.234 0.299
La1 0.000 0.000 0.000
Cu1 0.500 0.500 0.500

***

Here is a geometry-optimized PmGdAl2 structure from Alexandria via LeMat-Bulk. Energies are from PBE-GGA.

## Properties
distance to the lowest polymorph of the same formula	0.0	meV/atom
space-group type	P4/mmm
formation energy	-0.38	eV per atom
DFT total energy	-0.512	Ry/atom

abc: 3.664 3.664 7.334
angles: 90.00 90.00 90.00
Last column: magnetic moment on the atom in μB.
Element x y z (fractional)
Al1 0.000 0.000 0.257  -0.02
Al2 0.000 0.000 0.743  -0.02
Gd1 0.500 0.500 0.500  7.06
Pm1 0.500 0.500 0.000  -0.05

***

Here is a geometry-optimized Zn2CrW structure from Alexandria via LeMat-Bulk. Energies are from PBE-GGA.

## Properties
distance to the lowest polymorph of the same formula	154.6	meV/atom
space-group type	I-4m2
formation energy	0.33	eV per atom
DFT total energy	-0.437	Ry/atom

abc: 4.681 4.681 4.681
angles: 131.72 131.72 70.67
Last column: magnetic moment on the atom in μB.
Element x y z (fractional)
Cr1 0.500 0.500 0.000  1.06
Zn1 0.000 0.000 0.000  -0.01
Zn2 0.250 0.750 0.500  0.00
W1 0.750 0.250 0.500  -0.20

***

Here is a geometry-optimized Pm2UZnRh6 structure from Alexandria via LeMat-Bulk. Energies are from PBE-GGA.

## Properties
space-group type	C2/m
formation energy	-0.43	eV per atom
DFT total energy	-0.518	Ry/atom

abc: 5.633 8.300 5.635
angles: 70.24 60.00 89.99
Element x y z (fractional)
Rh1 0.250 0.259 0.991
Rh2 0.760 0.259 0.991
Rh3 0.240 0.741 0.009
Rh4 0.250 0.258 0.500
Rh5 0.750 0.741 0.009
Rh6 0.750 0.742 0.500
U1 0.500 0.500 0.000
Pm1 0.705 0.116 0.589
Pm2 0.295 0.884 0.411
Zn1 0.000 0.000 0.000

***

Here is a geometry-optimized Tb2DyTm9 structure from Alexandria via LeMat-Bulk. Energies are from PBE-GGA.

## Properties
distance to the lowest polymorph of the same formula	0.0	meV/atom
space-group type	P6/mmm
formation energy	0.06	eV per atom
DFT total energy	-0.327	Ry/atom

abc: 3.459 11.057 11.057
angles: 120.00 90.00 90.00
Element x y z (fractional)
Tb1 0.000 0.667 0.333
Tb2 0.000 0.333 0.667
Tm1 0.500 0.824 0.647
Tm2 0.500 0.176 0.824
Tm3 0.500 0.647 0.824
Tm4 0.000 0.000 0.500
Tm5 0.000 0.500 0.000
Tm6 0.500 0.176 0.353
Tm7 0.500 0.824 0.176
Tm8 0.000 0.500 0.500
Tm9 0.500 0.353 0.176
Dy1 0.000 0.000 0.000